No. 1
# Li3PuN3, optimized geometry, DFT PBE-GGA
# space-group type = Pm-3m
# E above lowest polymorph = 0.00 eV per formula unit
data_Li3PuN3
_chemical_formula_sum 'Li3 Pu1 N3'
_space_group_name_H-M_alt 'P 1'
_space_group_IT_number 1
_space_group_name_Hall 'P 1'
_cell_length_a 4.320
_cell_length_b 4.320
_cell_length_c 4.320
_cell_angle_alpha 90.00
_cell_angle_beta 90.00
_cell_angle_gamma 90.00
loop_
_atom_site_label
_atom_site_type_symbol
_atom_site_fract_x
_atom_site_fract_y
_atom_site_fract_z
_atom_site_occupancy
Li1 Li 0.000 0.000 0.500 1
Li2 Li 0.000 0.500 0.000 1
Li3 Li 0.500 0.000 0.000 1
Pu1 Pu 0.500 0.500 0.500 1
N1 N 0.000 0.500 0.500 1
N2 N 0.500 0.000 0.500 1
N3 N 0.500 0.500 0.000 1

---

No. 2
# LiPuN2, optimized geometry, DFT PBE-GGA
# space-group type = R3m
# E above lowest polymorph = 0.82 eV per formula unit
data_LiPuN2
_chemical_formula_sum 'Li3 Pu3 N6'
_space_group_name_H-M_alt 'P 1'
_space_group_IT_number 1
_space_group_name_Hall 'P 1'
_cell_length_a 3.431
_cell_length_b 3.431
_cell_length_c 16.569
_cell_angle_alpha 90.00
_cell_angle_beta 90.00
_cell_angle_gamma 120.00
loop_
_atom_site_label
_atom_site_type_symbol
_atom_site_fract_x
_atom_site_fract_y
_atom_site_fract_z
_atom_site_occupancy
Li1 Li 0.000 0.000 0.000 1
Li2 Li 0.333 0.667 0.667 1
Li3 Li 0.667 0.333 0.333 1
Pu1 Pu 0.000 0.000 0.810 1
Pu2 Pu 0.333 0.667 0.477 1
Pu3 Pu 0.667 0.333 0.144 1
N1 N 0.000 0.000 0.201 1
N2 N 0.000 0.000 0.410 1
N3 N 0.333 0.667 0.076 1
N4 N 0.333 0.667 0.868 1
N5 N 0.667 0.333 0.535 1
N6 N 0.667 0.333 0.743 1

---

No. 3
# LiPuN2, optimized geometry, DFT PBE-GGA
# space-group type = R-3m
# E above lowest polymorph = 0.41 eV per formula unit
data_LiPuN2
_chemical_formula_sum 'Li3 Pu3 N6'
_space_group_name_H-M_alt 'P 1'
_space_group_IT_number 1
_space_group_name_Hall 'P 1'
_cell_length_a 3.445
_cell_length_b 3.445
_cell_length_c 14.863
_cell_angle_alpha 90.00
_cell_angle_beta 90.00
_cell_angle_gamma 120.00
loop_
_atom_site_label
_atom_site_type_symbol
_atom_site_fract_x
_atom_site_fract_y
_atom_site_fract_z
_atom_site_occupancy
Li1 Li 0.000 0.000 0.000 1
Li2 Li 0.333 0.667 0.667 1
Li3 Li 0.667 0.333 0.333 1
Pu1 Pu 0.000 0.000 0.500 1
Pu2 Pu 0.333 0.667 0.167 1
Pu3 Pu 0.667 0.333 0.833 1
N1 N 0.000 0.000 0.236 1
N2 N 0.000 0.000 0.764 1
N3 N 0.333 0.667 0.431 1
N4 N 0.333 0.667 0.902 1
N5 N 0.667 0.333 0.098 1
N6 N 0.667 0.333 0.569 1

---

No. 4
# LiPuN2, optimized geometry, DFT PBE-GGA
# space-group type = I4_1/amd
# E above lowest polymorph = 0.00 eV per formula unit
data_LiPuN2
_chemical_formula_sum 'Li4 Pu4 N8'
_space_group_name_H-M_alt 'P 1'
_space_group_IT_number 1
_space_group_name_Hall 'P 1'
_cell_length_a 4.306
_cell_length_b 4.306
_cell_length_c 11.067
_cell_angle_alpha 90.00
_cell_angle_beta 90.00
_cell_angle_gamma 90.00
loop_
_atom_site_label
_atom_site_type_symbol
_atom_site_fract_x
_atom_site_fract_y
_atom_site_fract_z
_atom_site_occupancy
Li1 Li 0.000 0.250 0.375 1
Li2 Li 0.000 0.750 0.625 1
Li3 Li 0.500 0.250 0.125 1
Li4 Li 0.500 0.750 0.875 1
Pu1 Pu 0.000 0.250 0.875 1
Pu2 Pu 0.000 0.750 0.125 1
Pu3 Pu 0.500 0.250 0.625 1
Pu4 Pu 0.500 0.750 0.375 1
N1 N 0.000 0.250 0.082 1
N2 N 0.000 0.250 0.668 1
N3 N 0.000 0.750 0.332 1
N4 N 0.000 0.750 0.918 1
N5 N 0.500 0.250 0.418 1
N6 N 0.500 0.250 0.832 1
N7 N 0.500 0.750 0.168 1
N8 N 0.500 0.750 0.582 1

---

No. 5
# Li5PuN3, optimized geometry, DFT PBE-GGA
# space-group type = C2/c
data_Li5PuN3
_chemical_formula_sum 'Li10 Pu2 N6'
_space_group_name_H-M_alt 'P 1'
_space_group_IT_number 1
_space_group_name_Hall 'P 1'
_cell_length_a 6.255
_cell_length_b 6.255
_cell_length_c 7.189
_cell_angle_alpha 105.41
_cell_angle_beta 105.41
_cell_angle_gamma 50.02
loop_
_atom_site_label
_atom_site_type_symbol
_atom_site_fract_x
_atom_site_fract_y
_atom_site_fract_z
_atom_site_occupancy
Li1 Li 0.004 0.661 0.471 1
Li2 Li 0.111 0.500 0.874 1
Li3 Li 0.236 0.764 0.750 1
Li4 Li 0.339 0.996 0.029 1
Li5 Li 0.500 0.111 0.374 1
Li6 Li 0.500 0.889 0.626 1
Li7 Li 0.661 0.004 0.971 1
Li8 Li 0.764 0.236 0.250 1
Li9 Li 0.889 0.500 0.126 1
Li10 Li 0.996 0.339 0.529 1
Pu1 Pu 0.270 0.730 0.250 1
Pu2 Pu 0.730 0.270 0.750 1
N1 N 0.000 0.000 0.000 1
N2 N 0.000 0.000 0.500 1
N3 N 0.339 0.341 0.646 1
N4 N 0.341 0.339 0.146 1
N5 N 0.659 0.661 0.854 1
N6 N 0.661 0.659 0.354 1

---

No. 6
# LiPu4N5, optimized geometry, DFT PBE-GGA
# space-group type = Immm
data_LiPu4N5
_chemical_formula_sum 'Li1 Pu4 N5'
_space_group_name_H-M_alt 'P 1'
_space_group_IT_number 1
_space_group_name_Hall 'P 1'
_cell_length_a 9.173
_cell_length_b 9.173
_cell_length_c 9.173
_cell_angle_alpha 158.06
_cell_angle_beta 150.25
_cell_angle_gamma 37.27
loop_
_atom_site_label
_atom_site_type_symbol
_atom_site_fract_x
_atom_site_fract_y
_atom_site_fract_z
_atom_site_occupancy
Li1 Li 0.000 0.000 0.000 1
Pu1 Pu 0.200 0.200 0.000 1
Pu2 Pu 0.407 0.407 0.000 1
Pu3 Pu 0.593 0.593 0.000 1
Pu4 Pu 0.800 0.800 0.000 1
N1 N 0.114 0.614 0.500 1
N2 N 0.301 0.801 0.500 1
N3 N 0.500 0.000 0.500 1
N4 N 0.699 0.199 0.500 1
N5 N 0.886 0.386 0.500 1

---

No. 7
# LiPu3N4, optimized geometry, DFT PBE-GGA
# space-group type = Pm-3m
data_LiPu3N4
_chemical_formula_sum 'Li1 Pu3 N4'
_space_group_name_H-M_alt 'P 1'
_space_group_IT_number 1
_space_group_name_Hall 'P 1'
_cell_length_a 4.785
_cell_length_b 4.785
_cell_length_c 4.785
_cell_angle_alpha 90.00
_cell_angle_beta 90.00
_cell_angle_gamma 90.00
loop_
_atom_site_label
_atom_site_type_symbol
_atom_site_fract_x
_atom_site_fract_y
_atom_site_fract_z
_atom_site_occupancy
Li1 Li 0.000 0.000 0.000 1
Pu1 Pu 0.000 0.500 0.500 1
Pu2 Pu 0.500 0.000 0.500 1
Pu3 Pu 0.500 0.500 0.000 1
N1 N 0.000 0.000 0.500 1
N2 N 0.000 0.500 0.000 1
N3 N 0.500 0.000 0.000 1
N4 N 0.500 0.500 0.500 1

---

No. 8
# Li4PuRe3N8, optimized geometry, DFT PBE-GGA
# space-group type = R-3m
data_Li4PuRe3N8
_chemical_formula_sum 'Li4 Pu1 Re3 N8'
_space_group_name_H-M_alt 'P 1'
_space_group_IT_number 1
_space_group_name_Hall 'P 1'
_cell_length_a 6.240
_cell_length_b 6.240
_cell_length_c 6.240
_cell_angle_alpha 58.03
_cell_angle_beta 58.03
_cell_angle_gamma 58.03
loop_
_atom_site_label
_atom_site_type_symbol
_atom_site_fract_x
_atom_site_fract_y
_atom_site_fract_z
_atom_site_occupancy
Li1 Li 0.000 0.000 0.000 1
Li2 Li 0.000 0.500 0.500 1
Li3 Li 0.500 0.000 0.500 1
Li4 Li 0.500 0.500 0.000 1
Pu1 Pu 0.500 0.500 0.500 1
Re1 Re 0.000 0.000 0.500 1
Re2 Re 0.000 0.500 0.000 1
Re3 Re 0.500 0.000 0.000 1
N1 N 0.235 0.745 0.745 1
N2 N 0.242 0.242 0.242 1
N3 N 0.255 0.255 0.765 1
N4 N 0.255 0.765 0.255 1
N5 N 0.745 0.235 0.745 1
N6 N 0.745 0.745 0.235 1
N7 N 0.758 0.758 0.758 1
N8 N 0.765 0.255 0.255 1

---

No. 9
# Li2Pu2ReN6, optimized geometry, DFT PBE-GGA
# space-group type = C2/m
data_Li2Pu2ReN6
_chemical_formula_sum 'Li2 Pu2 Re1 N6'
_space_group_name_H-M_alt 'P 1'
_space_group_IT_number 1
_space_group_name_Hall 'P 1'
_cell_length_a 5.617
_cell_length_b 5.617
_cell_length_c 5.336
_cell_angle_alpha 98.35
_cell_angle_beta 98.35
_cell_angle_gamma 118.37
loop_
_atom_site_label
_atom_site_type_symbol
_atom_site_fract_x
_atom_site_fract_y
_atom_site_fract_z
_atom_site_occupancy
Li1 Li 0.141 0.859 0.000 1
Li2 Li 0.859 0.141 0.000 1
Pu1 Pu 0.338 0.662 0.500 1
Pu2 Pu 0.662 0.338 0.500 1
Re1 Re 0.000 0.000 0.500 1
N1 N 0.043 0.368 0.700 1
N2 N 0.231 0.231 0.281 1
N3 N 0.368 0.043 0.700 1
N4 N 0.632 0.957 0.300 1
N5 N 0.769 0.769 0.719 1
N6 N 0.957 0.632 0.300 1

---

No. 10
# Li3Pu3ReN8, optimized geometry, DFT PBE-GGA
# space-group type = R-3m
data_Li3Pu3ReN8
_chemical_formula_sum 'Li3 Pu3 Re1 N8'
_space_group_name_H-M_alt 'P 1'
_space_group_IT_number 1
_space_group_name_Hall 'P 1'
_cell_length_a 6.317
_cell_length_b 6.317
_cell_length_c 6.317
_cell_angle_alpha 63.31
_cell_angle_beta 63.31
_cell_angle_gamma 63.31
loop_
_atom_site_label
_atom_site_type_symbol
_atom_site_fract_x
_atom_site_fract_y
_atom_site_fract_z
_atom_site_occupancy
Li1 Li 0.000 0.500 0.500 1
Li2 Li 0.500 0.000 0.500 1
Li3 Li 0.500 0.500 0.000 1
Pu1 Pu 0.000 0.000 0.500 1
Pu2 Pu 0.000 0.500 0.000 1
Pu3 Pu 0.500 0.000 0.000 1
Re1 Re 0.500 0.500 0.500 1
N1 N 0.239 0.239 0.239 1
N2 N 0.263 0.722 0.722 1
N3 N 0.278 0.278 0.737 1
N4 N 0.278 0.737 0.278 1
N5 N 0.722 0.263 0.722 1
N6 N 0.722 0.722 0.263 1
N7 N 0.737 0.278 0.278 1
N8 N 0.761 0.761 0.761 1

---

No. 11
# Li3Pu2ReN6, optimized geometry, DFT PBE-GGA
# space-group type = C2/m
data_Li3Pu2ReN6
_chemical_formula_sum 'Li3 Pu2 Re1 N6'
_space_group_name_H-M_alt 'P 1'
_space_group_IT_number 1
_space_group_name_Hall 'P 1'
_cell_length_a 5.686
_cell_length_b 5.686
_cell_length_c 5.367
_cell_angle_alpha 98.91
_cell_angle_beta 98.91
_cell_angle_gamma 120.82
loop_
_atom_site_label
_atom_site_type_symbol
_atom_site_fract_x
_atom_site_fract_y
_atom_site_fract_z
_atom_site_occupancy
Li1 Li 0.000 0.000 0.000 1
Li2 Li 0.362 0.638 0.000 1
Li3 Li 0.638 0.362 0.000 1
Pu1 Pu 0.167 0.833 0.500 1
Pu2 Pu 0.833 0.167 0.500 1
Re1 Re 0.500 0.500 0.500 1
N1 N 0.126 0.432 0.284 1
N2 N 0.253 0.253 0.719 1
N3 N 0.432 0.126 0.284 1
N4 N 0.568 0.874 0.716 1
N5 N 0.747 0.747 0.281 1
N6 N 0.874 0.568 0.716 1

---

| no. | E_form (uncorrected) (meV/atom) | spin magnetization (μB per formula unit) | energy (eV per atom) |
| --- | --- | --- | --- |
| 1 | -808 | 2.00 | -7.24 |
| 2 | -773 | 3.00 | -9.00 |
| 3 | -875 | 3.00 | -9.10 |
| 4 | -979 | 3.00 | -9.20 |
| 5 | -545 | 4.00 | -5.98 |
| 6 | -1046 | 0.64 | -11.13 |
| 7 | -1033 | 13.00 | -10.81 |
| 8 | -367 | 1.33 | -8.24 |
| 9 | -552 | 6.97 | -9.18 |
| 10 | -639 | 10.00 | -9.16 |
| 11 | -667 | 7.97 | -8.73 |